(1)
The following is a DFT calculation (PBE) of a geometry-optimized MnBiAs2Se structure.

Output
The value obtained for the energy relative to the elements, uncorrected is 1.117 eV/atom. As for the total magnetization: 3.6 μB per formula unit. Its total energy is -0.1488 hartree per atom. The excess energy over the best structure of this formula in the dataset comes out at 857.3 meV per atom. As for the crystal system: tetragonal.

Unit cell a=5.4327 b=5.4327 c=5.4909 alpha=90.00 beta=90.00 gamma=90.00
Closest atoms and distances in Å follow each position.
Space group P4/mmm (No. 123)
Symmetry-distinct sites (fractional):
1 Mn 0.0000 0.0000 0.0000 (multiplicity 1)  4 Se 3.84, 8 As 3.86
2 Bi 0.5000 0.5000 0.5000 (multiplicity 1)  4 As 2.72, 2 Se 2.75
3 As 0.0000 0.5000 0.5000 (multiplicity 2)  2 Bi 2.72
4 Se 0.5000 0.5000 0.0000 (multiplicity 1)  2 Bi 2.75

=====

(2)
The following is a DFT calculation (PBE) of a geometry-optimized MnBiAs2Se structure.

Output
The value obtained for the energy relative to the elements, uncorrected is 0.260 eV/atom. As for the total magnetization: 0.0 μB per formula unit. Its total energy is -0.1803 hartree per atom. The excess energy over the best structure of this formula in the dataset comes out at 0.0 meV per atom. As for the crystal system: tetragonal.

Unit cell a=4.4862 b=4.4862 c=5.4861 alpha=90.00 beta=90.00 gamma=90.00
Closest atoms and distances in Å follow each position.
Space group P4/mmm (No. 123)
Symmetry-distinct sites (fractional):
1 Mn 0.0000 0.0000 0.0000 (multiplicity 1)  4 As 2.24
2 Bi 0.5000 0.5000 0.5000 (multiplicity 1)  4 Se 3.17, 8 As 3.54
3 As 0.0000 0.5000 0.0000 (multiplicity 2)  2 Mn 2.24
4 Se 0.0000 0.0000 0.5000 (multiplicity 1)  2 Mn 2.74